The following is a GGA-PBE calculation of an optimized crystal structure of ReOs2W, from the Alexandria database.

a b c (Å): 2.935 4.558 4.537
angles (deg): 90.00 90.00 90.00
Fractional positions:
Re (0.500, 0.000, 0.500)
Os (0.500, 0.500, 0.000)
Os (0.000, 0.000, 0.000)
W (0.000, 0.500, 0.500)

* energy of formation from the pure elements: 0.437 eV/atom
* SG: Pmmm (47)
* E above lowest polymorph: 0.448 eV/atom



The following is a GGA-PBE calculation of an optimized crystal structure of Ac2CeN, from the Alexandria database.

a b c (Å): 3.731 3.731 10.605
angles (deg): 79.87 79.87 60.00
Fractional positions:
Ac (0.883, 0.883, 0.352)
Ac (0.117, 0.117, 0.648)
Ce (0.000, 0.000, 0.000)
N (0.500, 0.500, 0.500)

* uncorrected formation energy: -108 kJ/mol of formula units
* SG: R-3m (166)
* E above lowest polymorph: 0.000 eV/atom



The following is a GGA-PBE calculation of an optimized crystal structure of ScAlCd, from the Alexandria database.

a b c (Å): 4.626 4.626 3.266
angles (deg): 90.00 90.00 120.00
Fractional positions:
Cd (0.667, 0.333, 0.167)
Al (0.000, 0.000, 0.166)
Sc (0.333, 0.667, 0.667)

* energy of formation from the pure elements: -0.324 eV/atom
* SG: P-6m2 (187)